# KVFe2F8

A relaxed KVFe2F8 crystal (PBE+U, Alexandria).

abc: 4.970 4.961 6.922
angles: 89.95 89.96 87.49
Site moments in Bohr magnetons follow the coordinates.
Fractional coordinates of all 12 atoms:
F 0.804 0.224 0.198  0.02
F 0.805 0.224 0.802  0.02
F 0.708 0.732 0.000  0.01
F 0.292 0.268 0.000  0.01
F 0.195 0.776 0.198  0.02
F 0.196 0.776 0.802  0.02
Fe 0.500 0.500 0.748  3.81
Fe 0.500 0.500 0.252  3.81
V 0.000 0.000 0.000  1.93
K 0.000 0.000 0.500  0.00
F 0.627 0.702 0.500  0.05
F 0.373 0.298 0.500  0.05

## Properties
final energy = -5.52 eV/atom
SG = No. 2
DOS at the Fermi energy = 0.000 states/eV per cell
mass density = 3.44 g cm⁻³